# Cr2TeO2

A relaxed Cr2TeO2 crystal (PBE+U, Alexandria via LeMat-Bulk).

As for the total magnetization: 13.50 Bohr magnetons per cell. The total DFT energy (no corrections) is -6.600 eV per atom.

The structure belongs to space group I4/mmm (No. 139); the cell edges are 3.745, 3.745 and 12.326 Å and the angles 90.00°, 90.00° and 90.00°. Symmetry generates all atoms from Cr at (0.000, 0.000, 0.189), Te at (0.000, 0.000, 0.500) and O at (0.000, 0.500, 0.250).